This record from the Alexandria database describes a relaxed LiTlCoF6 crystal. The functional is PBE+U.

The calculated volume is 13.1 Å³ per atom. The value obtained for the total DFT energy (no corrections) is -4.48 eV/atom. For the total magnetic moment, the calculation gives 6.00 Bohr magnetons per cell.

abc: 4.9026 4.9026 9.8398
angles: 90.00 90.00 90.00
With the nearest neighbours (Å) after each atom.
Space group P4_2nm (No. 102)
Unique sites:
Li: 0.0000 0.0000 0.0000 (multiplicity 2)  6 F 2.07-2.13
Tl: 0.0000 0.0000 0.3338 (multiplicity 2)  6 F 2.20-2.21
Co: 0.0000 0.0000 0.6677 (multiplicity 2)  6 F 2.05-2.07
F: 0.1829 0.1829 0.8332 (multiplicity 4)  1 Co 2.06, 1 Li 2.07, 1 Tl 2.20
F: 0.1974 0.1974 0.5105 (multiplicity 4)  1 Co 2.07, 1 Li 2.10, 1 Tl 2.21
F: 0.2045 0.2045 0.1612 (multiplicity 4)  1 Co 2.05, 1 Li 2.13, 1 Tl 2.21